Material: Dy6Ni2Pd
Method: DFT, GGA-PBE
State: optimized geometry

V (Å³/cell): 432.1
Energy of formation (eV/atom): -0.4032
Raw total energy (eV per atom): -5.333
Crystal system: orthorhombic
Space-group type: Immm
Magnetization (μB per atom): 0.000
Density of states at the Fermi level (states/eV/f.u.): 9.20

Unit cell a=8.2549 b=8.2549 c=8.2549 alpha=107.11 beta=108.93 gamma=112.42
Last column: nearest neighbours and their distance in Å.
Positions (direct):
Dy 0.5292 0.7090 0.8202  3 Ni 2.86-3.17, 1 Pd 3.18
Dy 0.4708 0.2910 0.1798  3 Ni 2.86-3.17, 1 Pd 3.18
Dy 0.1111 0.2910 0.8202  3 Ni 2.86-3.17, 1 Pd 3.18
Dy 0.8889 0.7090 0.1798  3 Ni 2.86-3.17, 1 Pd 3.18
Dy 0.8069 0.7735 0.5804  1 Ni 2.73, 1 Pd 2.89
Dy 0.1931 0.2265 0.4196  1 Ni 2.73, 1 Pd 2.89
Dy 0.1931 0.7735 0.9666  1 Ni 2.73, 1 Pd 2.89
Dy 0.8069 0.2265 0.0334  1 Ni 2.73, 1 Pd 2.89
Dy 0.6991 0.3718 0.6727  3 Ni 2.69-2.84
Dy 0.3009 0.6282 0.3273  3 Ni 2.69-2.84
Dy 0.3009 0.9736 0.6727  3 Ni 2.69-2.84
Dy 0.6991 0.0264 0.3273  3 Ni 2.69-2.84
Ni 0.5000 0.3739 0.8739  1 Ni 2.47, 2 Dy 2.69
Ni 0.5000 0.6261 0.1261  1 Ni 2.47, 2 Dy 2.69
Ni 0.6423 0.0000 0.6423  6 Dy 2.73-2.84, 1 Ni 2.73
Ni 0.3577 0.0000 0.3577  6 Dy 2.73-2.84, 1 Ni 2.73
Pd 0.0000 0.5000 0.5000  12 Dy 3.24-3.62
Pd 0.0000 0.0000 0.0000  8 Dy 2.89-3.18